A plane-wave DFT calculation with PBE was carried out for a relaxed structure of PmPr4Ir4.

Structure (CIF):
```
data_PmPr4Ir4
_space_group_name_H-M_alt 'P 42/n'
_space_group_IT_number 86
_cell_length_a 9.100
_cell_length_b 9.100
_cell_length_c 5.880
_cell_angle_alpha 90.00
_cell_angle_beta 90.00
_cell_angle_gamma 90.00
loop_
_space_group_symop_operation_xyz
'x,y,z'
'-x,-y,-z'
'-y,x+1/2,z+1/2'
'y,-x+1/2,-z+1/2'
'-x+1/2,-y+1/2,z'
'x+1/2,y+1/2,-z'
'y+1/2,-x,z+1/2'
'-y+1/2,x,-z+1/2'
loop_
_atom_site_label
_atom_site_fract_x
_atom_site_fract_y
_atom_site_fract_z
Pm1 0.250 0.250 0.250
Pr1 0.068 0.667 0.131
Ir1 0.023 0.621 0.626
```

Values from the calculation:
* energy: -7.086 eV/atom

---

A plane-wave DFT calculation with PBE was carried out for a relaxed structure of Pm3PrIr3.

Structure (CIF):
```
data_Pm3PrIr3
_space_group_name_H-M_alt 'R -3'
_space_group_IT_number 148
_space_group_name_Hall '-R 3'
_cell_length_a 8.7098
_cell_length_b 8.7098
_cell_length_c 17.1296
_cell_angle_alpha 90.00
_cell_angle_beta 90.00
_cell_angle_gamma 120.00
loop_
_atom_site_label
_atom_site_fract_x
_atom_site_fract_y
_atom_site_fract_z
Pm1 0.0152 0.7328 0.1012
Pr1 0.0000 0.0000 0.3272
Ir1 0.0068 0.6326 0.9354
```

Values from the calculation:
* energy: -7.089 eV/atom

---

A plane-wave DFT calculation with PBE was carried out for a relaxed structure of PmPr2Ir3.

Structure (CIF):
```
data_PmPr2Ir3
_space_group_name_H-M_alt 'I m m m'
_space_group_IT_number 71
_space_group_name_Hall '-I 2 2'
_cell_length_a 4.154
_cell_length_b 5.870
_cell_length_c 12.452
_cell_angle_alpha 90.00
_cell_angle_beta 90.00
_cell_angle_gamma 90.00
loop_
_atom_site_label
_atom_site_fract_x
_atom_site_fract_y
_atom_site_fract_z
Pm1 0.000 0.000 0.000
Pr1 0.000 0.000 0.332
Ir1 0.000 0.500 0.000
Ir2 0.000 0.500 0.337
```

Values from the calculation:
* energy: -7.120 eV/atom

---

A plane-wave DFT calculation with PBE was carried out for a relaxed structure of PmPr4Ir2.

Structure (CIF):
```
data_PmPr4Ir2
_space_group_name_H-M_alt 'P 1 21/m 1'
_space_group_IT_number 11
_cell_length_a 8.054
_cell_length_b 6.682
_cell_length_c 8.208
_cell_angle_alpha 90.00
_cell_angle_beta 113.46
_cell_angle_gamma 90.00
loop_
_space_group_symop_operation_xyz
'x,y,z'
'-x,-y,-z'
'-x,y+1/2,-z'
'x,-y+1/2,z'
loop_
_atom_site_label
_atom_site_fract_x
_atom_site_fract_y
_atom_site_fract_z
Pm1 0.150 0.250 0.030
Pr1 0.013 0.250 0.378
Pr2 0.250 0.750 0.339
Pr3 0.415 0.005 0.765
Ir1 0.245 0.750 0.990
Ir2 0.369 0.250 0.401
```

Values from the calculation:
* energy: -6.298 eV/atom